# Pa2Cu4Se5, relaxed, DFT GGA-PBE
# Magnetization: 0.603 μB/cell
# Density of states at the Fermi level: 0.854 states/eV/atom
# Final energy: -5.36 eV per atom
# Formation energy without anion corrections: -0.56 eV/atom
# Density: 7.94 g/cm3
# Crystal system: trigonal
data_Pa2Cu4Se5
_chemical_formula_sum 'Pa2 Cu4 Se5'
_space_group_name_H-M_alt 'P 1'
_space_group_IT_number 1
_cell_length_a 4.027
_cell_length_b 4.027
_cell_length_c 16.703
_cell_angle_alpha 83.08
_cell_angle_beta 83.08
_cell_angle_gamma 60.00
loop_
_space_group_symop_operation_xyz
'x,y,z'
loop_
_atom_site_label
_atom_site_type_symbol
_atom_site_fract_x
_atom_site_fract_y
_atom_site_fract_z
Pa1 Pa 0.135 0.135 0.596
Pa2 Pa 0.865 0.865 0.404
Cu1 Cu 0.687 0.687 0.939
Cu2 Cu 0.585 0.585 0.244
Cu3 Cu 0.415 0.415 0.756
Cu4 Cu 0.313 0.313 0.061
Se1 Se 0.765 0.765 0.705
Se2 Se 0.634 0.634 0.099
Se3 Se 0.500 0.500 0.500
Se4 Se 0.366 0.366 0.901
Se5 Se 0.235 0.235 0.295